First-principles (PBE) data for an optimized crystal structure of Rb3ScAs, as listed in Alexandria.

Summary:
The calculation puts the magnetization at 0.35 μB per atom. As for the space group: No. 221. As for the total energy: -2.272 eV/atom.

```
5
Lattice="6.7356 0.0000 0.0000 0.0000 6.7356 0.0000 0.0000 0.0000 6.7356" Properties=species:S:1:pos:R:3 pbc="T T T"
Rb 3.3678 0.0000 0.0000
Rb 0.0000 0.0000 3.3678
Rb 0.0000 3.3678 0.0000
Sc 3.3678 3.3678 3.3678
As 0.0000 0.0000 0.0000
```